Compound: Li5MgPd
Source: Alexandria
Functional: PBE-GGA
Structure: optimized geometry

Cell and atoms, written as POSCAR:
```
Li5MgPd
1.0
5.832 0.813 -0.323
2.621 5.272 -0.323
2.527 1.819 8.975
Mg Li Pd
2 10 2
direct
0.778 0.222 0.250
0.222 0.778 0.750
0.713 0.565 0.467
0.565 0.713 0.967
0.287 0.435 0.533
0.266 0.734 0.250
0.435 0.287 0.033
0.734 0.266 0.750
0.876 0.678 0.163
0.124 0.322 0.837
0.322 0.124 0.337
0.678 0.876 0.663
0.000 0.000 0.000
0.000 0.000 0.500
```

Its space-group type is C2/c. The energy of formation from the pure elements comes out at -0.823 eV/f.u. The total magnetization comes out at 0.000 Bohr magnetons per cell. The calculation puts the density of states at the Fermi level at 5.0 states/eV/cell.

=====

Compound: Li6MgPd2
Source: Alexandria
Functional: PBE-GGA
Structure: optimized geometry

Cell and atoms, written as POSCAR:
```
Li6MgPd2
1.0
2.963 -0.027 0.328
0.857 6.384 3.329
-0.273 0.110 7.754
Mg Li Pd
1 6 2
direct
0.000 0.000 0.000
0.836 0.149 0.346
0.164 0.505 0.346
0.836 0.495 0.654
0.661 0.664 0.000
0.164 0.851 0.654
0.339 0.336 0.000
0.500 0.838 0.324
0.500 0.162 0.676
```

Its space-group type is C2/m. The energy of formation from the pure elements comes out at -2.266 eV/f.u. The total magnetization comes out at 0.000 Bohr magnetons per cell. The calculation puts the density of states at the Fermi level at 3.0 states/eV/cell.

=====

Density, record by record: 2.09 3.16 g cm⁻³